First-principles (PBE with a Hubbard U) data for an optimized crystal structure of Na3CrPCO7, as listed in Alexandria via LeMat-Bulk.

a b c (Å): 5.289 6.667 9.169
angles (deg): 90.00 91.21 90.00
Last column: magnetic moment on the atom in μB.
Positions (direct):
Na (0.284, 0.250, 0.911)  0.00
Na (0.716, 0.750, 0.089)  0.00
Na (0.749, 0.001, 0.739)  0.00
Na (0.749, 0.499, 0.739)  0.00
Na (0.251, 0.501, 0.261)  0.00
Na (0.251, 0.999, 0.261)  0.00
Cr (0.269, 0.750, 0.644)  3.80
Cr (0.731, 0.250, 0.356)  3.80
P (0.187, 0.250, 0.582)  0.01
P (0.813, 0.750, 0.418)  0.01
C (0.218, 0.750, 0.946)  0.01
C (0.782, 0.250, 0.054)  0.01
O (0.743, 0.250, 0.914)  0.00
O (0.257, 0.750, 0.086)  0.00
O (0.415, 0.750, 0.861)  -0.02
O (0.585, 0.250, 0.139)  -0.02
O (0.992, 0.750, 0.890)  0.01
O (0.008, 0.250, 0.110)  0.01
O (0.891, 0.250, 0.565)  0.00
O (0.109, 0.750, 0.435)  0.00
O (0.694, 0.750, 0.570)  0.02
O (0.306, 0.250, 0.430)  0.02
O (0.267, 0.064, 0.676)  -0.01
O (0.267, 0.436, 0.676)  -0.01
O (0.733, 0.564, 0.324)  -0.01
O (0.733, 0.936, 0.324)  -0.01

Calculated values
D(E_F) ... 0.0 states/eV/cell
Calculated total energy ... -6.649 eV per atom